Density functional theory data (PBE) for crystalline Li4TbBi2 at its relaxed geometry.

Calculated values
magnetic moment	0.009	μB per atom
E_tot	-3.405	eV/atom
crystal system	tetragonal
energy relative to the elements	-541	meV per atom
density of states at the Fermi level	0.6334	states/eV per atom

Cell: 8.210 8.210 4.585 Å, 90.00 90.00 90.00°
Element x y z (fractional)
Li (0.102, 0.347, 0.000)
Li (0.153, 0.602, 0.500)
Li (0.347, 0.102, 0.000)
Li (0.398, 0.847, 0.500)
Li (0.602, 0.153, 0.500)
Li (0.653, 0.898, 0.000)
Li (0.847, 0.398, 0.500)
Li (0.898, 0.653, 0.000)
Tb (0.000, 0.000, 0.500)
Tb (0.500, 0.500, 0.000)
Bi (0.209, 0.791, 0.000)
Bi (0.291, 0.291, 0.500)
Bi (0.709, 0.709, 0.500)
Bi (0.791, 0.209, 0.000)